Entry 1:
{"formula": "Tb3YTm3", "functional": "GGA-PBE", "state": "optimized geometry", "space_group": "P6_3/m (176)", "polymorph_energy_mev_per_atom": 0, "lattice_angstrom": [[9.530, 0.000, 0.000], [-4.765, 8.253, 0.000], [0.000, 0.000, 5.620]], "species": ["Tb", "Tb", "Tb", "Tb", "Tb", "Tb", "Y", "Y", "Tm", "Tm", "Tm", "Tm", "Tm", "Tm"], "frac_coords": [[0.046, 0.807, 0.250], [0.193, 0.239, 0.250], [0.239, 0.046, 0.750], [0.761, 0.954, 0.250], [0.807, 0.761, 0.750], [0.954, 0.193, 0.750], [0.333, 0.667, 0.250], [0.667, 0.333, 0.750], [0.094, 0.619, 0.750], [0.381, 0.476, 0.750], [0.476, 0.094, 0.250], [0.524, 0.906, 0.750], [0.619, 0.524, 0.250], [0.906, 0.381, 0.250]]}

***

Entry 2:
{"formula": "TbY5Tm6", "functional": "GGA-PBE", "state": "optimized geometry", "space_group": "C2/m (12)", "lattice_angstrom": [[3.057, -5.289, 0.000], [3.057, 5.289, 0.000], [-2.034, 0.000, 11.519]], "species": ["Tb", "Y", "Y", "Y", "Y", "Y", "Tm", "Tm", "Tm", "Tm", "Tm", "Tm"], "frac_coords": [[0.000, 0.000, 0.000], [0.167, 0.833, 0.500], [0.333, 0.667, 0.000], [0.500, 0.500, 0.500], [0.667, 0.333, 0.000], [0.833, 0.167, 0.500], [0.083, 0.416, 0.250], [0.250, 0.250, 0.750], [0.416, 0.083, 0.250], [0.584, 0.917, 0.750], [0.750, 0.750, 0.250], [0.917, 0.584, 0.750]]}

***

Entry 3:
{"formula": "TbYTm2", "functional": "GGA-PBE", "state": "optimized geometry", "space_group": "R3m (160)", "polymorph_energy_mev_per_atom": 8, "lattice_angstrom": [[1.779, 1.027, 11.357], [-1.779, 1.027, 11.357], [0.000, -2.054, 11.357]], "species": ["Tb", "Y", "Tm", "Tm"], "frac_coords": [[0.000, 0.000, 0.000], [0.834, 0.834, 0.834], [0.417, 0.417, 0.417], [0.584, 0.584, 0.584]]}

***

Entry 4:
{"formula": "Tb4Y3Tm", "functional": "GGA-PBE", "state": "optimized geometry", "space_group": "C2/m (12)", "polymorph_energy_mev_per_atom": 162, "lattice_angstrom": [[11.712, -1.741, 0.000], [11.712, 1.741, 0.000], [-1.890, 0.000, 6.397]], "species": ["Tb", "Tb", "Tb", "Tb", "Y", "Y", "Y", "Tm"], "frac_coords": [[0.124, 0.124, 0.368], [0.260, 0.260, 0.759], [0.740, 0.740, 0.241], [0.876, 0.876, 0.632], [0.000, 0.000, 0.500], [0.124, 0.124, 0.882], [0.876, 0.876, 0.118], [0.500, 0.500, 0.000]]}

***

Computed calculated formation energy, in the same sequence as the records: 7, 28, 11, 168 meV/atom.